No. 1
Y5MgCd4 | PBE | relaxed

a = 3.764 Å, b = 3.764 Å, c = 18.768 Å
α = 90.00°, β = 90.00°, γ = 90.00°
Atoms (fractional coordinates):
Cd (0.000, 0.000, 0.400)
Cd (0.000, 0.000, 0.200)
Cd (0.000, 0.000, 0.800)
Cd (0.000, 0.000, 0.600)
Y (0.500, 0.500, 0.898)
Y (0.500, 0.500, 0.500)
Y (0.500, 0.500, 0.102)
Y (0.500, 0.500, 0.301)
Y (0.500, 0.500, 0.699)
Mg (0.000, 0.000, 0.000)

## Properties
Its total DFT energy (no corrections) is -4.062 eV per atom. As for the formation energy from the elements: -0.305 eV/atom.


No. 2
BeNi2Cl | PBE | relaxed

a = 2.824 Å, b = 4.541 Å, c = 3.739 Å
α = 90.00°, β = 90.00°, γ = 90.00°
Atoms (fractional coordinates):
Cl (0.000, 0.500, 0.500)
Ni (0.500, 0.500, 0.000)
Ni (0.000, 0.000, 0.000)
Be (0.500, 0.000, 0.500)

## Properties
Its total DFT energy (no corrections) is -3.887 eV per atom. The distance to the lowest polymorph of the same formula comes out at 426.1 meV per atom.